Tb3Sm2Co2 after structural relaxation. Source: Alexandria, functional PBE.

Cell: 3.674 6.345 8.987 Å, 115.08 90.00 106.83°
Atoms (fractional coordinates):
Tb: 0.500 0.000 0.000
Tb: 0.618 0.236 0.425
Tb: 0.382 0.764 0.575
Sm: 0.828 0.657 0.197
Sm: 0.172 0.343 0.803
Co: 0.822 0.644 0.757
Co: 0.178 0.356 0.243

**E**: -5.493 eV/atom
**Space-group type**: C2/m, No. 12

=====

Tb4Sm5Co2 after structural relaxation. Source: Alexandria, functional PBE.

Cell: 3.552 8.958 9.995 Å, 93.27 90.00 90.00°
Atoms (fractional coordinates):
Tb: 0.500 0.818 0.533
Tb: 0.500 0.181 0.818
Tb: 0.500 0.182 0.467
Tb: 0.500 0.819 0.182
Sm: 0.000 0.525 0.334
Sm: 0.000 0.153 0.148
Sm: 0.000 0.500 0.000
Sm: 0.000 0.847 0.852
Sm: 0.000 0.475 0.666
Co: 0.000 0.038 0.645
Co: 0.000 0.962 0.355

**E**: -5.107 eV/atom
**Space-group type**: P2/m, No. 10

=====

Tb3SmCo2 after structural relaxation. Source: Alexandria, functional PBE.

Cell: 3.985 8.359 10.092 Å, 77.71 78.61 76.21°
Atoms (fractional coordinates):
Tb: 0.063 0.065 0.809
Tb: 0.937 0.935 0.191
Tb: 0.689 0.683 0.940
Tb: 0.311 0.317 0.060
Tb: 0.810 0.820 0.559
Tb: 0.190 0.180 0.441
Sm: 0.437 0.435 0.691
Sm: 0.563 0.565 0.309
Co: 0.875 0.372 0.878
Co: 0.125 0.628 0.122
Co: 0.625 0.124 0.625
Co: 0.375 0.876 0.375

**E**: -5.545 eV/atom
**Space-group type**: C2/m, No. 12
**Energy above the most stable polymorph in this dataset**: 0.050 eV/atom

=====

Tb2Sm3Co2 after structural relaxation. Source: Alexandria, functional PBE.

Cell: 3.739 6.330 8.540 Å, 100.18 102.66 107.20°
Atoms (fractional coordinates):
Tb: 0.633 0.458 0.807
Tb: 0.367 0.542 0.193
Sm: 0.500 0.000 0.000
Sm: 0.191 0.807 0.575
Sm: 0.809 0.193 0.425
Co: 0.062 0.879 0.244
Co: 0.938 0.121 0.756

**E**: -5.485 eV/atom
**Space-group type**: C2/m, No. 12

=====

Tb2SmCo after structural relaxation. Source: Alexandria, functional PBE.

Cell: 3.677 6.307 9.541 Å, 90.00 90.00 106.96°
Atoms (fractional coordinates):
Tb: 0.141 0.281 0.427
Tb: 0.859 0.719 0.573
Tb: 0.859 0.719 0.927
Tb: 0.141 0.281 0.073
Sm: 0.414 0.829 0.250
Sm: 0.586 0.171 0.750
Co: 0.742 0.485 0.250
Co: 0.258 0.515 0.750

**E**: -5.380 eV/atom
**Space-group type**: Cmcm, No. 63
**Energy above the most stable polymorph in this dataset**: 0.024 eV/atom

=====

Tb2Sm2Co after structural relaxation. Source: Alexandria, functional PBE.

Cell: 7.389 6.902 8.053 Å, 72.48 55.78 57.64°
Atoms (fractional coordinates):
Tb: 0.563 0.456 0.259
Tb: 0.982 0.456 0.741
Tb: 0.437 0.544 0.741
Tb: 0.018 0.544 0.259
Sm: 0.177 0.000 0.098
Sm: 0.823 0.000 0.902
Sm: 0.653 0.000 0.591
Sm: 0.347 0.000 0.409
Co: 0.877 0.246 0.500
Co: 0.123 0.754 0.500

**E**: -5.205 eV/atom
**Space-group type**: C2/m, No. 12

=====

Tb2SmCo6 after structural relaxation. Source: Alexandria, functional PBE.

Cell: 4.091 6.686 6.686 Å, 120.00 90.00 90.00°
Each line ends with the local moment (μB).
Atoms (fractional coordinates):
Tb: 0.000 0.333 0.667  -0.17
Tb: 0.000 0.667 0.333  -0.17
Sm: 0.000 0.000 0.000  -0.12
Co: 0.500 0.334 0.334  0.86
Co: 0.500 0.666 0.666  0.86
Co: 0.500 0.000 0.666  0.86
Co: 0.500 0.666 0.000  0.86
Co: 0.500 0.334 0.000  0.86
Co: 0.500 0.000 0.334  0.86

**E**: -6.443 eV/atom
**Space-group type**: P6/mmm, No. 191

=====

Tb3SmCo after structural relaxation. Source: Alexandria, functional PBE.

Cell: 5.312 5.312 5.312 Å, 90.00 90.00 90.00°
Each line ends with the local moment (μB).
Atoms (fractional coordinates):
Co: 0.000 0.000 0.000  0.06
Tb: 0.000 0.500 0.000  0.07
Tb: 0.000 0.000 0.500  0.07
Tb: 0.500 0.000 0.000  0.07
Sm: 0.500 0.500 0.500  0.17

**E**: -5.139 eV/atom
**Space-group type**: Pm-3m, No. 221
**Energy above the most stable polymorph in this dataset**: 0.098 eV/atom

=====

Tb2SmCo after structural relaxation. Source: Alexandria, functional PBE.

Cell: 3.628 3.628 10.580 Å, 80.13 80.13 60.00°
Atoms (fractional coordinates):
Co: 0.500 0.500 0.500
Tb: 0.115 0.115 0.655
Tb: 0.885 0.885 0.345
Sm: 0.000 0.000 0.000

**E**: -5.119 eV/atom
**Space-group type**: R-3m, No. 166
**Energy above the most stable polymorph in this dataset**: 0.284 eV/atom

=====

Tb4Sm3Co4 after structural relaxation. Source: Alexandria, functional PBE.

Cell: 3.713 8.798 9.145 Å, 118.75 101.71 90.00°
Atoms (fractional coordinates):
Tb: 0.334 0.148 0.668
Tb: 0.666 0.480 0.332
Tb: 0.666 0.852 0.332
Tb: 0.334 0.520 0.668
Sm: 0.103 0.103 0.206
Sm: 0.897 0.897 0.794
Sm: 0.000 0.500 0.000
Co: 0.248 0.748 0.497
Co: 0.752 0.252 0.503
Co: 0.500 0.785 0.000
Co: 0.500 0.215 0.000

**E**: -5.594 eV/atom
**Space-group type**: Immm, No. 71

=====

Tb2SmCo after structural relaxation. Source: Alexandria, functional PBE.

Cell: 3.418 3.418 8.962 Å, 90.00 90.00 90.00°
Each line ends with the local moment (μB).
Atoms (fractional coordinates):
Co: 0.500 0.500 0.000  0.88
Tb: 0.000 0.000 0.819  -0.09
Tb: 0.000 0.000 0.181  -0.09
Sm: 0.500 0.500 0.500  0.04

**E**: -5.315 eV/atom
**Space-group type**: P4/mmm, No. 123
**Energy above the most stable polymorph in this dataset**: 0.089 eV/atom

=====

Tb3Sm4Co2 after structural relaxation. Source: Alexandria, functional PBE.

Cell: 3.658 9.017 8.508 Å, 112.55 102.42 90.00°
Atoms (fractional coordinates):
Tb: 0.073 0.194 0.146
Tb: 0.927 0.806 0.854
Tb: 0.000 0.500 0.000
Sm: 0.227 0.647 0.454
Sm: 0.773 0.353 0.546
Sm: 0.631 0.888 0.262
Sm: 0.369 0.112 0.738
Co: 0.382 0.565 0.764
Co: 0.618 0.435 0.236

**E**: -5.291 eV/atom
**Space-group type**: C2/m, No. 12

=====

Record order is preserved below.
Energy relative to the elements: -0.130, 0.013, -0.075, -0.110, -0.108, -0.044, -0.152, 0.004, 0.152, -0.040, -0.044, -0.071 eV per atom